(1)
# GGA-PBE Mg7Tl2Ag, optimized geometry
data_Mg7Tl2Ag
_cell_length_a 10.589
_cell_length_b 10.589
_cell_length_c 10.589
_cell_angle_alpha 90.00
_cell_angle_beta 90.00
_cell_angle_gamma 90.00
_space_group_name_H-M_alt 'F m -3 m'
_space_group_IT_number 225
_space_group_name_Hall '-F 4 2 3'
loop_
_atom_site_label
_atom_site_type_symbol
_atom_site_fract_x
_atom_site_fract_y
_atom_site_fract_z
Mg1 Mg 0.000 0.000 0.000
Mg2 Mg 0.000 0.000 0.258
Tl1 Tl 0.250 0.250 0.250
Ag1 Ag 0.000 0.000 0.500
# Energy relative to the lowest polymorph listed for this composition (kJ/mol of formula units): 315
# Formation energy (eV/atom): 0.265
# Total magnetic moment (μB/f.u.): 0.0

(2)
# GGA-PBE Mg14TlAg, optimized geometry
data_Mg14TlAg
_cell_length_a 6.481
_cell_length_b 6.481
_cell_length_c 8.566
_cell_angle_alpha 90.00
_cell_angle_beta 90.00
_cell_angle_gamma 90.00
_space_group_name_H-M_alt 'P 4/m m m'
_space_group_IT_number 123
_space_group_name_Hall '-P 4 2'
loop_
_atom_site_label
_atom_site_type_symbol
_atom_site_fract_x
_atom_site_fract_y
_atom_site_fract_z
Mg1 Mg 0.000 0.000 0.000
Mg2 Mg 0.000 0.500 0.000
Mg3 Mg 0.000 0.500 0.500
Mg4 Mg 0.245 0.245 0.256
Mg5 Mg 0.500 0.500 0.000
Tl1 Tl 0.500 0.500 0.500
Ag1 Ag 0.000 0.000 0.500
# Formation energy (eV/atom): -0.027
# Total magnetic moment (μB/f.u.): 0.0

(3)
# GGA-PBE MgTl2Ag, optimized geometry
data_MgTl2Ag
_cell_length_a 3.885
_cell_length_b 5.353
_cell_length_c 9.437
_cell_angle_alpha 90.00
_cell_angle_beta 90.00
_cell_angle_gamma 90.00
_space_group_name_H-M_alt 'I m m m'
_space_group_IT_number 71
_space_group_name_Hall '-I 2 2'
loop_
_atom_site_label
_atom_site_type_symbol
_atom_site_fract_x
_atom_site_fract_y
_atom_site_fract_z
Mg1 Mg 0.000 0.000 0.000
Tl1 Tl 0.000 0.500 0.241
Ag1 Ag 0.000 0.000 0.500
# Formation energy (eV/atom): 0.065
# Total magnetic moment (μB/f.u.): 0.0

(4)
# GGA-PBE MgTl2Ag, optimized geometry
data_MgTl2Ag
_cell_length_a 9.505
_cell_length_b 3.365
_cell_length_c 6.177
_cell_angle_alpha 90.00
_cell_angle_beta 100.26
_cell_angle_gamma 90.00
_space_group_name_H-M_alt 'C 1 2/m 1'
_space_group_IT_number 12
_space_group_name_Hall '-C 2y'
loop_
_atom_site_label
_atom_site_type_symbol
_atom_site_fract_x
_atom_site_fract_y
_atom_site_fract_z
Mg1 Mg 0.000 0.000 0.000
Tl1 Tl 0.247 0.000 0.742
Ag1 Ag 0.000 0.500 0.500
# Formation energy (eV/atom): 0.056
# Total magnetic moment (μB/f.u.): 0.0

(5)
# GGA-PBE MgTlAg2, optimized geometry
data_MgTlAg2
_cell_length_a 4.363
_cell_length_b 4.363
_cell_length_c 8.555
_cell_angle_alpha 90.00
_cell_angle_beta 90.00
_cell_angle_gamma 90.00
_space_group_name_H-M_alt 'I -4 m 2'
_space_group_IT_number 119
_space_group_name_Hall 'I -4 -2'
loop_
_atom_site_label
_atom_site_type_symbol
_atom_site_fract_x
_atom_site_fract_y
_atom_site_fract_z
Mg1 Mg 0.000 0.000 0.000
Tl1 Tl 0.000 0.500 0.750
Ag1 Ag 0.000 0.000 0.500
Ag2 Ag 0.000 0.500 0.250
# Formation energy (eV/atom): -0.020
# Total magnetic moment (μB/f.u.): 0.0

(6)
# GGA-PBE Mg4TlAg, optimized geometry
data_Mg4TlAg
_cell_length_a 8.214
_cell_length_b 8.214
_cell_length_c 8.214
_cell_angle_alpha 90.00
_cell_angle_beta 90.00
_cell_angle_gamma 90.00
_space_group_name_H-M_alt 'F -4 3 m'
_space_group_IT_number 216
_space_group_name_Hall 'F -4 2 3'
loop_
_atom_site_label
_atom_site_type_symbol
_atom_site_fract_x
_atom_site_fract_y
_atom_site_fract_z
Mg1 Mg 0.125 0.125 0.125
Tl1 Tl 0.250 0.250 0.750
Ag1 Ag 0.000 0.000 0.500
# Energy relative to the lowest polymorph listed for this composition (kJ/mol of formula units): 95
# Formation energy (eV/atom): 0.092
# Total magnetic moment (μB/f.u.): 0.0

(7)
# GGA-PBE Mg8TlAg2, optimized geometry
data_Mg8TlAg2
_cell_length_a 7.944
_cell_length_b 13.032
_cell_length_c 5.189
_cell_angle_alpha 90.00
_cell_angle_beta 112.81
_cell_angle_gamma 90.00
_space_group_name_H-M_alt 'C 1 2/m 1'
_space_group_IT_number 12
_space_group_name_Hall '-C 2y'
loop_
_atom_site_label
_atom_site_type_symbol
_atom_site_fract_x
_atom_site_fract_y
_atom_site_fract_z
Mg1 Mg 0.000 0.229 0.000
Mg2 Mg 0.100 0.500 0.804
Mg3 Mg 0.208 0.119 0.606
Tl1 Tl 0.000 0.000 0.000
Ag1 Ag 0.000 0.304 0.500
# Energy relative to the lowest polymorph listed for this composition (kJ/mol of formula units): 25
# Formation energy (eV/atom): -0.055
# Total magnetic moment (μB/f.u.): 0.0

(8)
# GGA-PBE Mg7TlAg2, optimized geometry
data_Mg7TlAg2
_cell_length_a 4.608
_cell_length_b 4.608
_cell_length_c 21.645
_cell_angle_alpha 90.00
_cell_angle_beta 90.00
_cell_angle_gamma 90.00
_space_group_name_H-M_alt 'I 4/m m m'
_space_group_IT_number 139
_space_group_name_Hall '-I 4 2'
loop_
_atom_site_label
_atom_site_type_symbol
_atom_site_fract_x
_atom_site_fract_y
_atom_site_fract_z
Mg1 Mg 0.000 0.000 0.000
Mg2 Mg 0.000 0.500 0.102
Mg3 Mg 0.000 0.500 0.250
Tl1 Tl 0.000 0.000 0.500
Ag1 Ag 0.000 0.000 0.172
# Energy relative to the lowest polymorph listed for this composition (kJ/mol of formula units): 0
# Formation energy (eV/atom): -0.068
# Total magnetic moment (μB/f.u.): 0.0